# Ga2Co2Mo

Crystalline Ga2Co2Mo at its relaxed geometry (PBE, Alexandria via LeMat-Bulk).

## Properties
- Calculated formation energy: -0.10 eV/atom
- D(E_F): 3.91 states/eV/f.u.
- SG: Cmmm, No. 65
- V: 68.1 Å³/f.u.
- Magnetic moment: 0.01 μB/cell

Unit cell a=2.686 b=18.509 c=2.741 alpha=90.00 beta=90.00 gamma=90.00
Positions (direct):
Ga  0.000  0.183  0.000
Ga  0.000  0.817  0.000
Ga  0.500  0.317  0.000
Ga  0.500  0.683  0.000
Co  0.000  0.404  0.500
Co  0.000  0.596  0.500
Co  0.500  0.096  0.500
Co  0.500  0.904  0.500
Mo  0.000  0.000  0.000
Mo  0.500  0.500  0.000

***

# Ga2CoMo

Crystalline Ga2CoMo at its relaxed geometry (PBE, Alexandria via LeMat-Bulk).

## Properties
- Calculated formation energy: 0.08 eV/atom
- D(E_F): 9.40 states/eV/f.u.
- SG: Fm-3m, No. 225
- V: 55.7 Å³/f.u.
- Magnetic moment: 7.50 μB/cell

Unit cell a=6.063 b=6.063 c=6.063 alpha=90.00 beta=90.00 gamma=90.00
Positions (direct):
Ga  0.250  0.250  0.250
Ga  0.250  0.250  0.750
Ga  0.250  0.750  0.250
Ga  0.250  0.750  0.750
Ga  0.750  0.250  0.250
Ga  0.750  0.250  0.750
Ga  0.750  0.750  0.250
Ga  0.750  0.750  0.750
Co  0.000  0.000  0.000
Co  0.000  0.500  0.500
Co  0.500  0.000  0.500
Co  0.500  0.500  0.000
Mo  0.000  0.000  0.500
Mo  0.000  0.500  0.000
Mo  0.500  0.000  0.000
Mo  0.500  0.500  0.500

***

# Ga2Co2Mo

Crystalline Ga2Co2Mo at its relaxed geometry (PBE, Alexandria via LeMat-Bulk).

## Properties
- Calculated formation energy: -0.07 eV/atom
- D(E_F): 6.09 states/eV/f.u.
- SG: P4/mbm, No. 127
- V: 64.9 Å³/f.u.
- Magnetic moment: 0.00 μB/cell

Unit cell a=6.958 b=6.958 c=2.682 alpha=90.00 beta=90.00 gamma=90.00
Positions (direct):
Ga  0.134  0.366  0.000
Ga  0.366  0.866  0.000
Ga  0.634  0.134  0.000
Ga  0.866  0.634  0.000
Co  0.165  0.665  0.500
Co  0.335  0.165  0.500
Co  0.665  0.835  0.500
Co  0.835  0.335  0.500
Mo  0.000  0.000  0.000
Mo  0.500  0.500  0.000

***

# Ga2CoMo

Crystalline Ga2CoMo at its relaxed geometry (PBE, Alexandria via LeMat-Bulk).

## Properties
- Calculated formation energy: 0.28 eV/atom
- D(E_F): 3.75 states/eV/f.u.
- SG: I-42d, No. 122
- V: 60.0 Å³/f.u.
- Magnetic moment: 4.27 μB/cell

Unit cell a=6.752 b=6.752 c=5.264 alpha=90.00 beta=90.00 gamma=90.00
Positions (direct):
Ga  0.219  0.250  0.125
Ga  0.250  0.719  0.375
Ga  0.250  0.781  0.875
Ga  0.281  0.250  0.625
Ga  0.719  0.750  0.625
Ga  0.750  0.219  0.875
Ga  0.750  0.281  0.375
Ga  0.781  0.750  0.125
Co  0.000  0.000  0.000
Co  0.000  0.500  0.250
Co  0.500  0.000  0.750
Co  0.500  0.500  0.500
Mo  0.000  0.000  0.500
Mo  0.000  0.500  0.750
Mo  0.500  0.000  0.250
Mo  0.500  0.500  0.000

***

# Ga3CoMo

Crystalline Ga3CoMo at its relaxed geometry (PBE, Alexandria via LeMat-Bulk).

## Properties
- Calculated formation energy: 0.54 eV/atom
- D(E_F): 4.49 states/eV/f.u.
- SG: Pm-3m, No. 221
- V: 88.2 Å³/f.u.
- Magnetic moment: 3.47 μB/cell

Unit cell a=4.452 b=4.452 c=4.452 alpha=90.00 beta=90.00 gamma=90.00
Positions (direct):
Ga  0.000  0.000  0.500
Ga  0.000  0.500  0.000
Ga  0.500  0.000  0.000
Co  0.000  0.000  0.000
Mo  0.500  0.500  0.500

***

# GaCoMo3

Crystalline GaCoMo3 at its relaxed geometry (PBE, Alexandria via LeMat-Bulk).

## Properties
- Calculated formation energy: 1.08 eV/atom
- D(E_F): 7.95 states/eV/f.u.
- SG: Pm-3m, No. 221
- V: 88.2 Å³/f.u.
- Magnetic moment: 0.00 μB/cell

Unit cell a=4.452 b=4.452 c=4.452 alpha=90.00 beta=90.00 gamma=90.00
Positions (direct):
Ga  0.000  0.000  0.000
Co  0.500  0.500  0.500
Mo  0.000  0.500  0.500
Mo  0.500  0.000  0.500
Mo  0.500  0.500  0.000

***

V of number 4 (Ga2CoMo)?
60.0 Å³/f.u.

***

Among the records above, which one has the highest D(E_F)?
number 2

***

Which of these has the highest calculated formation energy?
GaCoMo3

***

Among the records above, which one has the highest magnetic moment?
number 2